VASP calculation (PBE) on crystalline PrB2Rh3 at its relaxed geometry.

As for the polymorph energy (0 for the lowest one): 0.205 eV per atom. For the total energy, the calculation gives -42.83 eV per formula unit. For the energy relative to the elements, the calculation gives -0.44 eV/atom.

Structure (POSCAR):
```
PrB2Rh3
1.0
-0.917 -4.173 -3.376
4.720 1.297 -2.885
2.932 -3.434 3.448
Rh B Pr
6 4 2
direct
0.750 0.528 0.132 Rh
0.250 0.868 0.472 Rh
0.250 0.472 0.868 Rh
0.750 0.044 0.044 Rh
0.250 0.956 0.956 Rh
0.750 0.132 0.528 Rh
0.000 0.791 0.209 B
0.500 0.791 0.209 B
0.500 0.209 0.791 B
0.000 0.209 0.791 B
0.750 0.655 0.655 Pr
0.250 0.345 0.345 Pr
```